Entry 1:
A plane-wave DFT calculation with GGA-PBEsol was carried out for CsTmZnSe3 after structural relaxation. Values from VASP.

Geometry as Quantum ESPRESSO input:
```
&SYSTEM
  ibrav = 0, nat = 12, ntyp = 4
/
ATOMIC_SPECIES
Cs 132.91 Cs.upf
Tm 168.93 Tm.upf
Zn 65.41 Zn.upf
Se 78.96 Se.upf
CELL_PARAMETERS angstrom
2.0285 -7.9106 0.0000
2.0285 7.9106 0.0000
0.0000 0.0000 10.6918
ATOMIC_POSITIONS crystal
Cs 0.2443 0.7557 0.7500
Cs 0.7557 0.2443 0.2500
Tm 0.5000 0.5000 0.0000
Tm 0.5000 0.5000 0.5000
Zn 0.0373 0.9627 0.2500
Zn 0.9627 0.0373 0.7500
Se 0.1172 0.8828 0.0566
Se 0.1172 0.8828 0.4434
Se 0.4427 0.5573 0.2500
Se 0.5573 0.4427 0.7500
Se 0.8828 0.1172 0.5566
Se 0.8828 0.1172 0.9434
```

Values from the calculation:
- crystal system = orthorhombic
- space group = Cmcm, No. 63
- E_form (uncorrected) (eV per atom) = -1.41
- VASP energy (eV per atom) = -4.573

***

Entry 2:
A plane-wave DFT calculation with GGA-PBEsol was carried out for Li2MgHg after structural relaxation. Values from VASP.

Geometry as Quantum ESPRESSO input:
```
&SYSTEM
  ibrav = 0, nat = 4, ntyp = 3
/
ATOMIC_SPECIES
Li 6.94 Li.upf
Mg 24.30 Mg.upf
Hg 200.59 Hg.upf
CELL_PARAMETERS angstrom
-2.0740 2.0740 4.1497
2.0740 -2.0740 4.1497
2.0740 2.0740 -4.1497
ATOMIC_POSITIONS crystal
Li 0.2500 0.7500 0.5000
Li 0.7500 0.2500 0.5000
Mg 0.0000 0.0000 0.0000
Hg 0.5000 0.5000 0.0000
```

Values from the calculation:
- crystal system = tetragonal
- space group = I4/mmm, No. 139
- E above lowest polymorph (eV per atom) = 0.0297
- ΔH_f (0 K) (eV/atom) = -0.292
- VASP energy (eV per atom) = -1.847

***

Entry 3:
A plane-wave DFT calculation with GGA-PBEsol was carried out for OsCN2F after structural relaxation. Values from VASP.

Geometry as Quantum ESPRESSO input:
```
&SYSTEM
  ibrav = 0, nat = 5, ntyp = 4
/
ATOMIC_SPECIES
Os 190.23 Os.upf
C 12.01 C.upf
N 14.01 N.upf
F 19.00 F.upf
CELL_PARAMETERS angstrom
3.7881 0.0000 0.0000
0.0000 3.7881 0.0000
0.0000 0.0000 4.0089
ATOMIC_POSITIONS crystal
Os 0.0000 0.0000 0.0000
C 0.5000 0.5000 0.5000
N 0.0000 0.5000 0.0000
N 0.5000 0.0000 0.0000
F 0.0000 0.0000 0.5000
```

Values from the calculation:
- crystal system = tetragonal
- space group = P4/mmm, No. 123
- E_form (uncorrected) (eV per atom) = 1.62
- VASP energy (eV per atom) = -6.550

***

Entry 4:
A plane-wave DFT calculation with GGA-PBEsol was carried out for HoSb after structural relaxation. Values from VASP.

Geometry as Quantum ESPRESSO input:
```
&SYSTEM
  ibrav = 0, nat = 2, ntyp = 2
/
ATOMIC_SPECIES
Ho 164.93 Ho.upf
Sb 121.76 Sb.upf
CELL_PARAMETERS angstrom
0.0000 3.0384 3.0384
3.0384 0.0000 3.0384
3.0384 3.0384 0.0000
ATOMIC_POSITIONS crystal
Ho 0.0000 0.0000 0.0000
Sb 0.5000 0.5000 0.5000
```

Values from the calculation:
- crystal system = cubic
- space group = Fm-3m, No. 225
- E_form (uncorrected) (eV per atom) = -1.14
- VASP energy (eV per atom) = -5.891

***

Entry 5:
A plane-wave DFT calculation with GGA-PBEsol was carried out for TcNiIr2 after structural relaxation. Values from VASP.

Geometry as Quantum ESPRESSO input:
```
&SYSTEM
  ibrav = 0, nat = 4, ntyp = 3
/
ATOMIC_SPECIES
Tc 98.00 Tc.upf
Ni 58.69 Ni.upf
Ir 192.22 Ir.upf
CELL_PARAMETERS angstrom
4.3895 -1.3320 0.0000
4.3895 1.3320 0.0000
-0.7915 0.0000 4.5188
ATOMIC_POSITIONS crystal
Tc 0.0000 0.0000 0.0000
Ni 0.5000 0.5000 0.5000
Ir 0.2510 0.2510 0.7479
Ir 0.7490 0.7490 0.2521
```

Values from the calculation:
- crystal system = monoclinic
- space group = C2/m, No. 12
- E above lowest polymorph (eV per atom) = 0.0532
- ΔH_f (0 K) (eV/atom) = -0.073
- VASP energy (eV per atom) = -9.341

***

Entry 6:
A plane-wave DFT calculation with GGA-PBEsol was carried out for KMn2Pb after structural relaxation. Values from VASP.

Geometry as Quantum ESPRESSO input:
```
&SYSTEM
  ibrav = 0, nat = 4, ntyp = 3
/
ATOMIC_SPECIES
K 39.10 K.upf
Mn 54.94 Mn.upf
Pb 207.20 Pb.upf
CELL_PARAMETERS angstrom
0.0000 3.5858 3.5858
3.5858 0.0000 3.5858
3.5858 3.5858 0.0000
ATOMIC_POSITIONS crystal
K 0.0000 0.0000 0.0000
Mn 0.5000 0.5000 0.5000
Mn 0.7500 0.7500 0.7500
Pb 0.2500 0.2500 0.2500
```

Values from the calculation:
- crystal system = cubic
- space group = F-43m, No. 216
- E above lowest polymorph (eV per atom) = 0.0315
- ΔH_f (0 K) (eV/atom) = 0.972
- VASP energy (eV per atom) = -5.191